No. 1
Below is a relaxed structure of Cs2K2Cd, with properties calculated at the PBE level.

energy of formation: 0.054 eV/atom
excess energy over the best structure of this formula in the dataset: 70 meV/atom

Cell lengths 9.7989, 9.7989, 7.6954 Å; angles 90.00, 90.00, 90.00 degrees
Last column: nearest neighbours and their distance in Å.
Fractional positions:
Cd: 0.0000 0.0000 0.0000  4 K 3.71
K: 0.6548 0.1548 0.0000  2 Cd 3.71
Cs: 0.3160 0.1840 0.5000  2 K 4.45
K: 0.1548 0.3452 0.0000  2 Cd 3.71
K: 0.8452 0.6548 0.0000  2 Cd 3.71
Cs: 0.8160 0.3160 0.5000  2 K 4.45
K: 0.3452 0.8452 0.0000  2 Cd 3.71
Cs: 0.1840 0.6840 0.5000  2 K 4.45
Cd: 0.5000 0.5000 0.0000  4 K 3.71
Cs: 0.6840 0.8160 0.5000  2 K 4.45

No. 2
Below is a relaxed structure of SrLi2CdF, with properties calculated at the PBE level.

uncorrected formation energy: -5.62 eV per formula unit

Cell lengths 4.7188, 4.7188, 4.9762 Å; angles 90.00, 90.00, 90.00 degrees
Last column: nearest neighbours and their distance in Å.
Fractional positions:
Li: 0.5000 0.0000 0.0000  2 F 2.36
Sr: 0.0000 0.0000 0.5000  2 F 2.49
F: 0.0000 0.0000 0.0000  4 Li 2.36, 2 Sr 2.49
Cd: 0.5000 0.5000 0.5000  4 Sr 3.34, 8 Li 3.43
Li: 0.0000 0.5000 0.0000  2 F 2.36

No. 3
Below is a relaxed structure of PrZn12Rh6, with properties calculated at the PBE level.

energy of formation: -0.208 eV/atom

Cell lengths 7.0837, 7.0837, 7.0837 Å; angles 103.99, 103.99, 103.99 degrees
Last column: nearest neighbours and their distance in Å.
Fractional positions:
Rh: 0.7313 0.2981 0.7313  7 Zn 2.49-2.61
Rh: 0.2981 0.7313 0.7313  7 Zn 2.49-2.61
Zn: 0.5000 0.8882 0.1118  4 Rh 2.49-2.54, 3 Zn 2.50-2.74
Zn: 0.4063 0.1441 0.4063  4 Rh 2.57-2.88, 2 Zn 2.74
Zn: 0.8882 0.5000 0.1118  4 Rh 2.49-2.54, 3 Zn 2.50-2.74
Zn: 0.1441 0.4063 0.4063  4 Rh 2.57-2.88, 2 Zn 2.74
Rh: 0.2687 0.2687 0.7019  7 Zn 2.49-2.61
Zn: 0.1118 0.8882 0.5000  4 Rh 2.49-2.54, 3 Zn 2.50-2.74
Zn: 0.8559 0.5937 0.5937  4 Rh 2.57-2.88, 2 Zn 2.74
Zn: 0.5937 0.5937 0.8559  4 Rh 2.57-2.88, 2 Zn 2.74
Rh: 0.7313 0.7313 0.2981  7 Zn 2.49-2.61
Zn: 0.5000 0.1118 0.8882  4 Rh 2.49-2.54, 3 Zn 2.50-2.74
Zn: 0.4063 0.4063 0.1441  4 Rh 2.57-2.88, 2 Zn 2.74
Zn: 0.1118 0.5000 0.8882  4 Rh 2.49-2.54, 3 Zn 2.50-2.74
Pr: 0.0000 0.0000 0.0000  6 Zn 3.28
Zn: 0.8882 0.1118 0.5000  4 Rh 2.49-2.54, 3 Zn 2.50-2.74
Rh: 0.7019 0.2687 0.2687  7 Zn 2.49-2.61
Rh: 0.2687 0.7019 0.2687  7 Zn 2.49-2.61
Zn: 0.5937 0.8559 0.5937  4 Rh 2.57-2.88, 2 Zn 2.74

No. 4
Below is a relaxed structure of ScCu2, with properties calculated at the PBE level.

energy of formation: -0.257 eV/atom

Cell lengths 4.7985, 4.7985, 4.7985 Å; angles 139.72, 139.72, 58.28 degrees
Last column: nearest neighbours and their distance in Å.
Fractional positions:
Cu: 0.6733 0.6733 0.0000  5 Cu 2.67-2.91, 5 Sc 2.74-2.75
Sc: 0.0000 0.0000 0.0000  10 Cu 2.74-2.75
Cu: 0.3267 0.3267 0.0000  5 Cu 2.67-2.91, 5 Sc 2.74-2.75

No. 5
Below is a relaxed structure of Tl2BSe2, with properties calculated at the PBE level.

excess energy over the best structure of this formula in the dataset: 496 meV/atom
uncorrected formation energy: 4.60 eV per formula unit

Cell lengths 4.3803, 4.3803, 7.9055 Å; angles 73.92, 73.92, 90.00 degrees
Last column: nearest neighbours and their distance in Å.
Fractional positions:
B: 0.0000 0.0000 0.0000  8 Se 3.33
Se: 0.4162 0.4162 0.1676  1 Se 2.44
Tl: 0.2500 0.7500 0.5000  4 Tl 3.10, 4 Se 3.26
Tl: 0.7500 0.2500 0.5000  4 Tl 3.10, 4 Se 3.26
Se: 0.5838 0.5838 0.8324  1 Se 2.44

No. 6
Below is a relaxed structure of CaLa2MgMn, with properties calculated at the PBE level.

energy of formation: 0.154 eV/atom

Cell lengths 5.2067, 5.2067, 5.5484 Å; angles 90.00, 90.00, 90.00 degrees
Last column: nearest neighbours and their distance in Å.
Fractional positions:
La: 0.0000 0.5000 0.0000  2 Mn 2.60
Mn: 0.0000 0.0000 0.0000  4 La 2.60, 2 Mg 2.77
La: 0.5000 0.0000 0.0000  2 Mn 2.60
Mg: 0.0000 0.0000 0.5000  2 Mn 2.77
Ca: 0.5000 0.5000 0.5000  4 Mg 3.68, 8 La 3.80

Looking at total moment for the records above, in order, we have 0.00; 0.00; 0.00; 0.00; 0.00; 0.00 μB per formula unit.
Looking at electronic total energy for the records above, in order, we have -0.9090; -2.7832; -3.5857; -5.0984; -2.7561; -4.3706 eV/atom.